## NaTlPdRh (PBE)

Data for NaTlPdRh after structural relaxation.

POSCAR file:
```
NaTlPdRh
1.0
-3.082 -3.198 1.352
-0.260 -4.063 -2.231
1.451 -3.888 2.081
Pd Na Tl Rh
1 1 1 1
Direct
0.000 0.000 0.000
0.250 0.250 0.250
0.750 0.750 0.750
0.500 0.500 0.500
```

Computed properties:
Symmetry ... F-43m
Energy of formation ... -0.8 kJ/mol of atoms



## NaVPdRh2 (PBE)

Data for NaVPdRh2 after structural relaxation.

POSCAR file:
```
NaVPdRh2
1.0
-0.566 -3.573 -2.687
3.153 1.794 -3.050
3.316 -2.151 2.163
Rh Na Pd V
2 1 1 1
Direct
0.500 0.000 0.000
0.000 0.000 0.500
0.500 0.500 0.500
0.000 0.500 0.000
0.000 0.000 0.000
```

Computed properties:
Symmetry ... P4/mmm
Energy of formation ... 40.1 kJ/mol of atoms



## Na2ZnPdRh (PBE)

Data for Na2ZnPdRh after structural relaxation.

POSCAR file:
```
Na2ZnPdRh
1.0
-3.776 -1.796 -3.409
-0.646 -3.870 2.755
-3.783 2.629 2.806
Rh Pd Na Zn
1 1 2 1
Direct
0.000 0.000 0.000
0.000 0.500 0.000
0.000 0.000 0.500
0.500 0.000 0.000
0.500 0.500 0.500
```

Computed properties:
Symmetry ... P4/mmm
Energy of formation ... 63.1 kJ/mol of atoms



## NaPdRu2 (PBE)

Data for NaPdRu2 after structural relaxation.

POSCAR file:
```
NaPdRu2
1.0
7.696 0.000 0.000
0.000 7.696 0.000
3.848 3.848 2.423
Ru Pd Na
4 2 2
Direct
0.675 0.125 0.250
0.875 0.925 0.750
0.075 0.625 0.250
0.375 0.325 0.750
0.750 0.250 0.500
0.000 0.000 0.000
0.500 0.500 0.000
0.250 0.750 0.500
```

Computed properties:
Symmetry ... I-42d
Energy of formation ... 97.0 kJ/mol of atoms



The lowest energy of formation belongs to which entry? NaTlPdRh



Among the records above, which one has the highest energy of formation? NaPdRu2